1.
Density functional theory data (PBE) for an optimized crystal structure of Al2CoRe. Values from VASP.

Geometry as Quantum ESPRESSO input:
```
&SYSTEM
  ibrav = 0, nat = 4, ntyp = 3
/
ATOMIC_SPECIES
Re 186.21 Re.upf
Al 26.98 Al.upf
Co 58.93 Co.upf
ATOMIC_POSITIONS crystal
Re 0.750 0.750 0.750
Al 0.000 0.000 0.000
Al 0.250 0.250 0.250
Co 0.500 0.500 0.500
CELL_PARAMETERS angstrom
-2.890 3.096 0.365
-2.126 0.504 3.646
0.791 3.365 2.474
```

2.
Density functional theory data (PBE) for an optimized crystal structure of AlCo2Re. Values from VASP.

Geometry as Quantum ESPRESSO input:
```
&SYSTEM
  ibrav = 0, nat = 4, ntyp = 3
/
ATOMIC_SPECIES
Co 58.93 Co.upf
Al 26.98 Al.upf
Re 186.21 Re.upf
ATOMIC_POSITIONS crystal
Co 0.000 0.000 0.000
Co 0.500 0.500 0.000
Al 0.000 0.500 0.500
Re 0.500 0.000 0.500
CELL_PARAMETERS angstrom
4.374 -0.005 0.000
-1.081 4.238 0.000
0.000 0.000 2.663
```

3.
Density functional theory data (PBE) for an optimized crystal structure of Al2CoRe. Values from VASP.

Geometry as Quantum ESPRESSO input:
```
&SYSTEM
  ibrav = 0, nat = 4, ntyp = 3
/
ATOMIC_SPECIES
Re 186.21 Re.upf
Al 26.98 Al.upf
Co 58.93 Co.upf
ATOMIC_POSITIONS crystal
Re 0.500 0.750 0.750
Al 0.000 0.427 0.492
Al 0.000 0.073 0.008
Co 0.500 0.250 0.250
CELL_PARAMETERS angstrom
4.039 0.000 0.000
0.000 2.678 -0.005
0.000 0.624 4.991
```

4.
Density functional theory data (PBE) for an optimized crystal structure of AlCoRe2. Values from VASP.

Geometry as Quantum ESPRESSO input:
```
&SYSTEM
  ibrav = 0, nat = 8, ntyp = 3
/
ATOMIC_SPECIES
Re 186.21 Re.upf
Co 58.93 Co.upf
Al 26.98 Al.upf
ATOMIC_POSITIONS crystal
Re 0.089 0.625 0.250
Re 0.661 0.125 0.250
Re 0.875 0.911 0.750
Re 0.375 0.339 0.750
Co 0.000 0.000 0.000
Co 0.750 0.250 0.500
Al 0.250 0.750 0.500
Al 0.500 0.500 0.000
CELL_PARAMETERS angstrom
-2.563 -1.115 -6.348
-2.856 -5.928 2.194
-4.789 -2.289 -1.454
```

5.
Density functional theory data (PBE) for an optimized crystal structure of AlCo2Re. Values from VASP.

Geometry as Quantum ESPRESSO input:
```
&SYSTEM
  ibrav = 0, nat = 4, ntyp = 3
/
ATOMIC_SPECIES
Al 26.98 Al.upf
Re 186.21 Re.upf
Co 58.93 Co.upf
ATOMIC_POSITIONS crystal
Al 0.500 0.500 0.777
Re 0.000 0.000 0.484
Co 0.500 0.500 0.237
Co 0.000 0.000 0.001
CELL_PARAMETERS angstrom
-0.086 1.370 -2.453
1.378 -2.118 -1.231
-5.486 -2.778 -1.359
```

6.
Density functional theory data (PBE) for an optimized crystal structure of AlCo2Re. Values from VASP.

Geometry as Quantum ESPRESSO input:
```
&SYSTEM
  ibrav = 0, nat = 8, ntyp = 3
/
ATOMIC_SPECIES
Al 26.98 Al.upf
Co 58.93 Co.upf
Re 186.21 Re.upf
ATOMIC_POSITIONS crystal
Al 0.250 0.750 0.500
Al 0.500 0.500 0.000
Co 0.622 0.125 0.250
Co 0.128 0.625 0.250
Co 0.375 0.378 0.750
Co 0.875 0.872 0.750
Re 0.750 0.250 0.500
Re 0.000 0.000 0.000
CELL_PARAMETERS angstrom
-1.156 -3.098 1.553
3.381 -0.648 1.224
-0.595 2.211 8.265
```

| no. | E (eV per atom) | D(E_F) (states/eV/f.u.) |
| --- | --- | --- |
| 1 | -6.775 | 3.6 |
| 2 | -7.753 | 4.2 |
| 3 | -6.915 | 3.3 |
| 4 | -8.345 | 4.0 |
| 5 | -7.696 | 3.5 |
| 6 | -7.145 | 3.7 |